Crystalline P4Ir at its relaxed geometry, computed with PBE.

Output
**Volume**: 97 Å³ per cell
**Space-group type**: No. 221
**VASP energy**: -25.67 eV/cell
**E_form**: 967 meV/atom
**E above lowest polymorph**: 1.3864 eV per atom

Unit cell a=4.5997 b=4.5997 c=4.5997 alpha=90.00 beta=90.00 gamma=90.00
Positions (direct):
P1 0.0000 0.0000 0.0000
P2 0.0000 0.5000 0.5000
P3 0.5000 0.0000 0.5000
P4 0.5000 0.5000 0.0000
Ir1 0.5000 0.5000 0.5000

=====

Crystalline TmMgNiAg at its relaxed geometry, computed with PBE.

Output
**Volume**: 75 Å³ per cell
**Space-group type**: No. 216
**VASP energy**: -15.73 eV/cell
**E_form**: -257 meV/atom

Unit cell a=4.7346 b=4.7346 c=4.7346 alpha=60.00 beta=60.00 gamma=60.00
Positions (direct):
Tm1 0.0000 0.0000 0.0000
Mg1 0.5000 0.5000 0.5000
Ni1 0.7500 0.7500 0.7500
Ag1 0.2500 0.2500 0.2500

=====

Crystalline Sr8NiAu2 at its relaxed geometry, computed with PBE.

Output
**Volume**: 459 Å³ per cell
**Space-group type**: No. 12
**VASP energy**: -29.19 eV/cell
**E_form**: -309 meV/atom

Unit cell a=8.3010 b=8.3010 c=7.3695 alpha=104.54 beta=104.54 gamma=71.89
Positions (direct):
Sr1 0.0806 0.0806 0.2750
Sr2 0.1536 0.5590 0.2520
Sr3 0.3678 0.3678 0.7495
Sr4 0.4410 0.8464 0.7480
Sr5 0.5590 0.1536 0.2520
Sr6 0.6322 0.6322 0.2505
Sr7 0.8464 0.4410 0.7480
Sr8 0.9194 0.9194 0.7250
Ni1 0.5000 0.5000 0.5000
Au1 0.1832 0.1832 0.9396
Au2 0.8168 0.8168 0.0604

=====

Crystalline La4HgPd3 at its relaxed geometry, computed with PBE.

Output
**Volume**: 217 Å³ per cell
**Space-group type**: No. 25
**VASP energy**: -41.36 eV/cell
**E_form**: -721 meV/atom

Unit cell a=3.9672 b=4.7780 c=11.4313 alpha=90.00 beta=90.00 gamma=90.00
Positions (direct):
La1 0.0000 0.0000 0.0000
La2 0.0000 0.5000 0.2569
La3 0.5000 0.0000 0.4747
La4 0.5000 0.5000 0.7665
Hg1 0.0000 0.0000 0.7036
Pd1 0.0000 0.5000 0.5332
Pd2 0.5000 0.0000 0.2103
Pd3 0.5000 0.5000 0.0385

=====

Q: Which value of VASP energy does entry 3 give?
A: -29.19 eV/cell

=====

Q: The lowest volume belongs to which entry?
A: TmMgNiAg